A plane-wave DFT calculation with PBE was carried out for a geometry-optimized ErZr3Fe8 structure.

```
ErZr3Fe8
1.0
2.503 1.445 8.191
-2.503 1.445 8.191
0.000 -2.890 8.191
Er Zr Fe
1 3 8
Direct
0.000 0.000 0.000
0.375 0.375 0.375
0.500 0.500 0.500
0.875 0.875 0.875
0.187 0.187 0.187
0.437 0.437 0.936
0.437 0.936 0.437
0.439 0.938 0.938
0.688 0.688 0.688
0.936 0.437 0.437
0.938 0.439 0.938
0.938 0.938 0.439
```

Results
E	-8.40	eV/atom
total magnetic moment	12.73	μB per cell